DFT (PBE) results for an optimized crystal structure of CdHgSeO.

Values from the calculation:
E_tot (eV per atom): -2.8831

Geometry as extended XYZ:
```
16
Lattice="6.8438 0.0000 0.0000 0.0000 7.0008 0.0000 0.0000 0.0000 7.4777" Properties=species:S:1:pos:R:3 pbc="T T T"
Cd 0.0814 0.6452 1.3319
Cd 3.3405 6.3556 5.0708
Cd 3.5033 2.8552 6.1458
Cd 6.7625 4.1456 2.4070
Hg 0.5066 5.0210 6.3683
Hg 2.9154 1.9798 2.6294
Hg 3.9285 5.4802 1.1095
Hg 6.3373 1.5206 4.8483
Se 1.4002 1.0750 6.4488
Se 2.0217 5.9258 2.7100
Se 4.8221 2.4254 1.0289
Se 5.4436 4.5754 4.7678
O 0.7682 2.1501 2.8579
O 2.6538 4.8507 6.5968
O 4.1901 1.3503 4.6198
O 6.0757 5.6505 0.8809
```